VSnAuBr: relaxed, PBE.

The structure in CIF format:
```
data_VSnAuBr
_space_group_name_H-M_alt 'C 1 m 1'
_space_group_IT_number 8
_cell_length_a 9.405
_cell_length_b 3.349
_cell_length_c 6.949
_cell_angle_alpha 90.00
_cell_angle_beta 98.27
_cell_angle_gamma 90.00
loop_
_space_group_symop_operation_xyz
'x,y,z'
'x,-y,z'
'x+1/2,y+1/2,z'
'x+1/2,-y+1/2,z'
loop_
_atom_site_label
_atom_site_type_symbol
_atom_site_fract_x
_atom_site_fract_y
_atom_site_fract_z
V1 V 0.000 0.000 0.000
Sn1 Sn 0.239 0.500 0.159
Au1 Au 0.478 0.000 0.310
Br1 Br 0.440 0.000 0.731
```

As for the energy relative to the elements, uncorrected: -0.026 eV per atom.



VSnAuBr: relaxed, PBE.

The structure in CIF format:
```
data_VSnAuBr
_space_group_name_H-M_alt 'C 1 m 1'
_space_group_IT_number 8
_cell_length_a 5.644
_cell_length_b 3.211
_cell_length_c 9.881
_cell_angle_alpha 90.00
_cell_angle_beta 91.10
_cell_angle_gamma 90.00
loop_
_space_group_symop_operation_xyz
'x,y,z'
'x,-y,z'
'x+1/2,y+1/2,z'
'x+1/2,-y+1/2,z'
loop_
_atom_site_label
_atom_site_type_symbol
_atom_site_fract_x
_atom_site_fract_y
_atom_site_fract_z
V1 V 0.000 0.000 0.000
Sn1 Sn 0.174 0.500 0.442
Au1 Au 0.339 0.000 0.199
Br1 Br 0.326 0.000 0.833
```

As for the energy relative to the elements, uncorrected: -0.091 eV per atom.



VSnAuBr: relaxed, PBE.

The structure in CIF format:
```
data_VSnAuBr
_space_group_name_H-M_alt 'C 1 m 1'
_space_group_IT_number 8
_cell_length_a 9.213
_cell_length_b 3.246
_cell_length_c 6.360
_cell_angle_alpha 90.00
_cell_angle_beta 110.67
_cell_angle_gamma 90.00
loop_
_space_group_symop_operation_xyz
'x,y,z'
'x,-y,z'
'x+1/2,y+1/2,z'
'x+1/2,-y+1/2,z'
loop_
_atom_site_label
_atom_site_type_symbol
_atom_site_fract_x
_atom_site_fract_y
_atom_site_fract_z
V1 V 0.000 0.000 0.000
Sn1 Sn 0.434 0.000 0.574
Au1 Au 0.158 0.500 0.373
Br1 Br 0.272 0.000 0.954
```

As for the energy relative to the elements, uncorrected: 0.049 eV per atom.



ZrSnAu2Br: relaxed, PBE.

The structure in CIF format:
```
data_ZrSnAu2Br
_space_group_name_H-M_alt 'P 4/m m m'
_space_group_IT_number 123
_space_group_name_Hall '-P 4 2'
_cell_length_a 5.160
_cell_length_b 5.160
_cell_length_c 5.504
_cell_angle_alpha 90.00
_cell_angle_beta 90.00
_cell_angle_gamma 90.00
loop_
_atom_site_label
_atom_site_type_symbol
_atom_site_fract_x
_atom_site_fract_y
_atom_site_fract_z
Zr1 Zr 0.000 0.000 0.000
Sn1 Sn 0.500 0.500 0.500
Au1 Au 0.000 0.500 0.500
Br1 Br 0.500 0.500 0.000
```

As for the energy relative to the elements, uncorrected: 0.581 eV per atom.



Q: Among the records above, which one has the highest energy relative to the elements, uncorrected?
A: ZrSnAu2Br



Q: What is the formula in the first record?
A: VSnAuBr



Q: Among the records above, which one has the lowest energy relative to the elements, uncorrected?
A: number 2